La2Zn2Te after structural relaxation. Source: Alexandria, functional GGA-PBE.

Cell: 7.7984 7.7984 4.4212 Å, 90.00 90.00 90.00°
Closest atoms and distances in Å follow each position.
Fractional positions:
La 0.1732 0.3268 0.0000  6 Zn 3.19-3.20
La 0.3268 0.8268 0.0000  6 Zn 3.19-3.20
La 0.6732 0.1732 0.0000  6 Zn 3.19-3.20
La 0.8268 0.6732 0.0000  6 Zn 3.19-3.20
Zn 0.1171 0.6171 0.5000  1 Zn 2.58
Zn 0.3829 0.1171 0.5000  1 Zn 2.58
Zn 0.6171 0.8829 0.5000  1 Zn 2.58
Zn 0.8829 0.3829 0.5000  1 Zn 2.58
Te 0.0000 0.0000 0.5000  4 Zn 3.12
Te 0.5000 0.5000 0.5000  4 Zn 3.12

## Properties
- Calculated total energy: -36.7 eV/cell
- V: 269 Å³/cell
- Formation energy from raw total energies: -565 meV/atom
- ΔE to the lowest computed polymorph: 0.000 eV per atom
- Total moment: 0.000 μB/atom
- Mass density: 6.62 Mg/m³



RbNbN2 after structural relaxation. Source: Alexandria, functional GGA-PBE.

Cell: 8.0092 8.0092 8.0092 Å, 25.52 25.52 25.52°
Closest atoms and distances in Å follow each position.
Fractional positions:
Rb 0.0000 0.0000 0.0000  6 N 2.85
Nb 0.5000 0.5000 0.5000  2 N 1.88
N 0.4190 0.4190 0.4190  1 Nb 1.88
N 0.5810 0.5810 0.5810  1 Nb 1.88

## Properties
- Calculated total energy: -23.6 eV/cell
- V: 84 Å³/cell
- Formation energy from raw total energies: 1029 meV/atom
- Total moment: 0.463 μB/atom
- Mass density: 4.08 Mg/m³



NaTlSn2I6 after structural relaxation. Source: Alexandria, functional GGA-PBE.

Cell: 8.2631 8.2793 8.8029 Å, 62.05 62.03 60.08°
Closest atoms and distances in Å follow each position.
Fractional positions:
Na 0.0000 0.0000 0.0000  6 I 3.29-3.31
Tl 0.4936 0.4931 0.5207  6 I 3.49-3.58
Sn 0.1937 0.1917 0.4220  6 I 3.19-3.23
Sn 0.6897 0.6884 0.9339  6 I 3.15-3.24
I 0.0510 0.4183 0.7016  2 Sn 3.16-3.22, 1 Na 3.31, 1 Tl 3.49
I 0.2991 0.9286 0.1914  2 Sn 3.20-3.24, 1 Na 3.29, 1 Tl 3.57
I 0.4189 0.8291 0.7013  2 Sn 3.16-3.21, 1 Na 3.31, 1 Tl 3.49
I 0.5813 0.2976 0.1918  2 Sn 3.19-3.24, 1 Na 3.29
I 0.8282 0.0503 0.7019  2 Sn 3.15-3.23, 1 Na 3.31, 1 Tl 3.49
I 0.9304 0.5809 0.1908  2 Sn 3.20-3.23, 1 Na 3.29, 1 Tl 3.58

## Properties
- Calculated total energy: -27.7 eV/cell
- V: 439 Å³/cell
- Formation energy from raw total energies: -667 meV/atom
- Total moment: 0.000 μB/atom
- Mass density: 4.64 Mg/m³



AcMnGe3Os after structural relaxation. Source: Alexandria, functional GGA-PBE.

Cell: 6.7567 6.7567 5.9538 Å, 90.00 90.00 112.54°
Closest atoms and distances in Å follow each position.
Fractional positions:
Ac 0.2485 0.7515 0.7500  2 Ge 2.98
Ac 0.7515 0.2485 0.2500  2 Ge 2.98
Mn 0.4533 0.5467 0.2500  5 Ge 2.20-2.40
Mn 0.5467 0.4533 0.7500  5 Ge 2.20-2.40
Ge 0.2579 0.7421 0.2500  1 Mn 2.20, 1 Os 2.34
Ge 0.2592 0.2592 0.0000  2 Mn 2.40, 2 Os 2.51
Ge 0.2592 0.2592 0.5000  2 Mn 2.40, 2 Os 2.51
Ge 0.7408 0.7408 0.0000  2 Mn 2.40, 2 Os 2.51
Ge 0.7408 0.7408 0.5000  2 Mn 2.40, 2 Os 2.51
Ge 0.7421 0.2579 0.7500  1 Mn 2.20, 1 Os 2.34
Os 0.0500 0.9500 0.2500  5 Ge 2.34-2.51
Os 0.9500 0.0500 0.7500  5 Ge 2.34-2.51

## Properties
- Calculated total energy: -78.4 eV/cell
- E_form: -13 kJ/mol of atoms
- V: 251 Å³/cell
- Total moment: 0.000 μB/atom
- Mass density: 9.13 Mg/m³